(1)
DFT (GGA-PBE) results for a relaxed structure of CuPtSe2.

Lattice parameters (Å, degrees): 2.903 2.903 8.828 90.00 90.00 90.00
Fractional positions:
Cu 0.000 0.000 0.000
Pt 0.500 0.500 0.206
Se 0.000 0.000 0.406
Se 0.500 0.500 0.797

Results
Total DFT energy (no corrections) (eV/atom): -4.121
Symmetry: P4mm

---

(2)
DFT (GGA-PBE) results for a relaxed structure of AgSbTe2.

Lattice parameters (Å, degrees): 3.474 3.474 9.466 90.00 90.00 111.59
Fractional positions:
Ag 0.000 0.000 0.000
Sb 0.000 0.000 0.500
Te 0.500 0.500 0.229
Te 0.500 0.500 0.771

Results
Total DFT energy (no corrections) (eV/atom): -3.074
Symmetry: Cmmm

---

(3)
DFT (GGA-PBE) results for a relaxed structure of Pr3U2Os4.

Lattice parameters (Å, degrees): 6.103 6.103 8.971 103.19 103.19 41.61
Fractional positions:
Pr 0.000 0.000 0.000
Pr 0.371 0.371 0.619
Pr 0.629 0.629 0.381
U 0.329 0.329 0.224
U 0.671 0.671 0.776
Os 0.080 0.080 0.634
Os 0.275 0.275 0.909
Os 0.725 0.725 0.091
Os 0.920 0.920 0.366

Results
Total DFT energy (no corrections) (eV/atom): -9.212
Formation enthalpy at 0 K (eV per atom): -0.12
Symmetry: C2/m

---

(4)
DFT (GGA-PBE) results for a relaxed structure of Rb3UMn2Se6.

Lattice parameters (Å, degrees): 7.063 7.063 8.293 98.15 98.15 120.00
Fractional positions:
Rb 0.000 0.000 0.000
Rb 0.332 0.668 0.000
Rb 0.668 0.332 0.000
U 0.500 0.500 0.500
Mn 0.167 0.833 0.500
Mn 0.833 0.167 0.500
Se 0.103 0.438 0.314
Se 0.228 0.228 0.687
Se 0.438 0.103 0.314
Se 0.562 0.897 0.686
Se 0.772 0.772 0.313
Se 0.897 0.562 0.686

Results
Total DFT energy (no corrections) (eV/atom): -5.383
Symmetry: C2/m

---

(5)
DFT (GGA-PBE) results for a relaxed structure of Tb3TlO6.

Lattice parameters (Å, degrees): 7.244 7.244 5.682 90.00 90.00 103.01
Fractional positions:
Tb 0.099 0.901 0.500
Tb 0.197 0.409 0.444
Tb 0.409 0.197 0.944
Tb 0.591 0.803 0.444
Tb 0.803 0.591 0.944
Tb 0.901 0.099 0.000
Tl 0.318 0.682 0.935
Tl 0.682 0.318 0.435
O 0.063 0.600 0.712
O 0.141 0.179 0.723
O 0.179 0.141 0.223
O 0.280 0.720 0.299
O 0.400 0.937 0.712
O 0.478 0.522 0.710
O 0.522 0.478 0.210
O 0.600 0.063 0.212
O 0.720 0.280 0.799
O 0.821 0.859 0.723
O 0.859 0.821 0.223
O 0.937 0.400 0.212

Results
Total DFT energy (no corrections) (eV/atom): -7.412
Symmetry: Cmc2_1

---

(6)
DFT (GGA-PBE) results for a relaxed structure of CdAgRu3.

Lattice parameters (Å, degrees): 4.849 4.849 4.849 90.00 90.00 90.00
Fractional positions:
Cd 0.000 0.000 0.000
Ag 0.500 0.500 0.500
Ru 0.000 0.500 0.500
Ru 0.500 0.000 0.500
Ru 0.500 0.500 0.000

Results
Total DFT energy (no corrections) (eV/atom): -4.212
Formation enthalpy at 0 K (eV per atom): 2.11
Symmetry: Pm-3m

---

(7)
DFT (GGA-PBE) results for a relaxed structure of Sr3CaLa.

Lattice parameters (Å, degrees): 6.348 6.348 6.348 90.00 90.00 90.00
Fractional positions:
Sr 0.000 0.000 0.500
Sr 0.000 0.500 0.000
Sr 0.500 0.000 0.000
Ca 0.500 0.500 0.500
La 0.000 0.000 0.000

Results
Total DFT energy (no corrections) (eV/atom): -1.789
Formation enthalpy at 0 K (eV per atom): 0.61
Symmetry: Pm-3m

---

(8)
DFT (GGA-PBE) results for a relaxed structure of Ba8Rh3AuI4.

Lattice parameters (Å, degrees): 10.147 10.147 10.147 54.62 54.62 54.62
Fractional positions:
Ba 0.217 0.742 0.742
Ba 0.233 0.233 0.233
Ba 0.258 0.258 0.783
Ba 0.258 0.783 0.258
Ba 0.742 0.217 0.742
Ba 0.742 0.742 0.217
Ba 0.767 0.767 0.767
Ba 0.783 0.258 0.258
Rh 0.000 0.000 0.500
Rh 0.000 0.500 0.000
Rh 0.500 0.000 0.000
Au 0.500 0.500 0.500
I 0.000 0.000 0.000
I 0.000 0.500 0.500
I 0.500 0.000 0.500
I 0.500 0.500 0.000

Results
Total DFT energy (no corrections) (eV/atom): -3.798
Symmetry: R-3m

---

(9)
DFT (GGA-PBE) results for a relaxed structure of SmCdCl6.

Lattice parameters (Å, degrees): 6.630 6.631 7.148 62.58 62.72 60.03
Fractional positions:
Sm 0.000 0.000 0.000
Cd 0.500 0.500 0.500
Cl 0.084 0.747 0.745
Cl 0.256 0.575 0.251
Cl 0.422 0.085 0.748
Cl 0.578 0.915 0.252
Cl 0.744 0.425 0.749
Cl 0.916 0.253 0.255

Results
Total DFT energy (no corrections) (eV/atom): -3.453
Symmetry: P-1

---

(10)
DFT (GGA-PBE) results for a relaxed structure of Mn2TlOs.

Lattice parameters (Å, degrees): 2.975 4.495 4.802 90.00 90.00 90.00
Fractional positions:
Mn 0.000 0.000 0.000
Mn 0.000 0.500 0.352
Tl 0.500 0.000 0.516
Os 0.500 0.500 0.908

Results
Total DFT energy (no corrections) (eV/atom): -7.464
Formation enthalpy at 0 K (eV per atom): 0.52
Symmetry: Pmm2

---

(11)
DFT (GGA-PBE) results for a relaxed structure of CeAl2GaAg2.

Lattice parameters (Å, degrees): 4.800 4.800 5.760 90.00 90.00 90.00
Fractional positions:
Ce 0.000 0.000 0.000
Al 0.500 0.500 0.227
Al 0.500 0.500 0.773
Ga 0.000 0.000 0.500
Ag 0.000 0.500 0.500
Ag 0.500 0.000 0.500

Results
Total DFT energy (no corrections) (eV/atom): -3.629
Formation enthalpy at 0 K (eV per atom): 0.06
Symmetry: P4/mmm

---

(12)
DFT (GGA-PBE) results for a relaxed structure of CsCu3As.

Lattice parameters (Å, degrees): 5.209 5.209 5.209 90.00 90.00 90.00
Fractional positions:
Cs 0.000 0.000 0.000
Cu 0.000 0.000 0.500
Cu 0.000 0.500 0.000
Cu 0.500 0.000 0.000
As 0.500 0.500 0.500

Results
Total DFT energy (no corrections) (eV/atom): -1.656
Formation enthalpy at 0 K (eV per atom): 1.90
Symmetry: Pm-3m

---

(13)
DFT (GGA-PBE) results for a relaxed structure of Cs3FeRh.

Lattice parameters (Å, degrees): 6.192 6.192 6.192 90.00 90.00 90.00
Fractional positions:
Cs 0.000 0.000 0.500
Cs 0.000 0.500 0.000
Cs 0.500 0.000 0.000
Fe 0.500 0.500 0.500
Rh 0.000 0.000 0.000

Results
Total DFT energy (no corrections) (eV/atom): -2.654
Formation enthalpy at 0 K (eV per atom): 1.02
Symmetry: Pm-3m

---

(14)
DFT (GGA-PBE) results for a relaxed structure of Ac6PrMg2.

Lattice parameters (Å, degrees): 7.297 7.297 13.038 107.12 107.12 32.75
Fractional positions:
Ac 0.025 0.025 0.334
Ac 0.314 0.314 0.410
Ac 0.324 0.324 0.121
Ac 0.676 0.676 0.879
Ac 0.686 0.686 0.590
Ac 0.975 0.975 0.666
Pr 0.000 0.000 0.000
Mg 0.350 0.350 0.805
Mg 0.650 0.650 0.195

Results
Total DFT energy (no corrections) (eV/atom): -3.636
Formation enthalpy at 0 K (eV per atom): -0.01
Symmetry: C2/m

---

(15)
DFT (GGA-PBE) results for a relaxed structure of B2Pt2Rh.

Lattice parameters (Å, degrees): 6.322 6.322 2.897 90.00 90.00 90.00
Fractional positions:
B 0.154 0.346 0.000
B 0.346 0.846 0.000
B 0.654 0.154 0.000
B 0.846 0.654 0.000
Pt 0.151 0.651 0.500
Pt 0.349 0.151 0.500
Pt 0.651 0.849 0.500
Pt 0.849 0.349 0.500
Rh 0.000 0.000 0.000
Rh 0.500 0.500 0.000

Results
Total DFT energy (no corrections) (eV/atom): -6.465
Formation enthalpy at 0 K (eV per atom): 0.09
Symmetry: P4/mbm

---

(16)
DFT (GGA-PBE) results for a relaxed structure of Ce2SmThBi4.

Lattice parameters (Å, degrees): 7.946 4.595 7.965 90.00 109.43 90.00
Fractional positions:
Ce 0.000 0.000 0.000
Ce 0.000 0.500 0.500
Sm 0.500 0.000 0.500
Th 0.500 0.500 0.000
Bi 0.250 0.000 0.749
Bi 0.251 0.500 0.252
Bi 0.749 0.500 0.748
Bi 0.750 0.000 0.251

Results
Total DFT energy (no corrections) (eV/atom): -5.724
Formation enthalpy at 0 K (eV per atom): -0.78
Symmetry: P2/m

---

(17)
DFT (GGA-PBE) results for a relaxed structure of Pm5Bi5Ir.

Lattice parameters (Å, degrees): 7.525 7.525 9.927 116.37 116.37 49.76
Fractional positions:
Pm 0.000 0.000 0.000
Pm 0.314 0.314 0.702
Pm 0.352 0.352 0.123
Pm 0.648 0.648 0.877
Pm 0.686 0.686 0.298
Bi 0.112 0.112 0.780
Bi 0.224 0.224 0.336
Bi 0.500 0.500 0.500
Bi 0.776 0.776 0.664
Bi 0.888 0.888 0.220
Ir 0.500 0.500 0.000

Results
Total DFT energy (no corrections) (eV/atom): -5.285
Formation enthalpy at 0 K (eV per atom): -0.56
Symmetry: C2/m

---

(18)
DFT (GGA-PBE) results for a relaxed structure of TiMn2NbN.

Lattice parameters (Å, degrees): 4.389 4.389 3.761 90.00 90.00 90.00
Fractional positions:
Ti 0.000 0.000 0.000
Mn 0.000 0.500 0.000
Mn 0.500 0.000 0.000
Nb 0.500 0.500 0.500
N 0.000 0.000 0.500

Results
Total DFT energy (no corrections) (eV/atom): -7.809
Symmetry: P4/mmm

---

(19)
DFT (GGA-PBE) results for a relaxed structure of LaNi12Ge6.

Lattice parameters (Å, degrees): 6.722 6.722 6.722 105.07 105.07 105.07
Fractional positions:
La 0.000 0.000 0.000
Ni 0.120 0.500 0.880
Ni 0.120 0.880 0.500
Ni 0.162 0.422 0.422
Ni 0.422 0.162 0.422
Ni 0.422 0.422 0.162
Ni 0.500 0.120 0.880
Ni 0.500 0.880 0.120
Ni 0.578 0.578 0.838
Ni 0.578 0.838 0.578
Ni 0.838 0.578 0.578
Ni 0.880 0.120 0.500
Ni 0.880 0.500 0.120
Ge 0.255 0.255 0.699
Ge 0.255 0.699 0.255
Ge 0.301 0.745 0.745
Ge 0.699 0.255 0.255
Ge 0.745 0.301 0.745
Ge 0.745 0.745 0.301

Results
Total DFT energy (no corrections) (eV/atom): -5.657
Formation enthalpy at 0 K (eV per atom): -0.29
Symmetry: R-3m

---

(20)
DFT (GGA-PBE) results for a relaxed structure of Dy2PuAl2Ru5.

Lattice parameters (Å, degrees): 10.174 10.174 3.373 90.00 90.00 90.00
Fractional positions:
Dy 0.170 0.330 0.000
Dy 0.330 0.830 0.000
Dy 0.670 0.170 0.000
Dy 0.830 0.670 0.000
Pu 0.000 0.000 0.000
Pu 0.500 0.500 0.000
Al 0.126 0.626 0.000
Al 0.374 0.126 0.000
Al 0.626 0.874 0.000
Al 0.874 0.374 0.000
Ru 0.000 0.500 0.500
Ru 0.068 0.799 0.500
Ru 0.201 0.068 0.500
Ru 0.299 0.568 0.500
Ru 0.432 0.299 0.500
Ru 0.500 0.000 0.500
Ru 0.568 0.701 0.500
Ru 0.701 0.432 0.500
Ru 0.799 0.932 0.500
Ru 0.932 0.201 0.500

Results
Total DFT energy (no corrections) (eV/atom): -8.158
Formation enthalpy at 0 K (eV per atom): -0.42
Symmetry: P4/mbm

---

(21)
DFT (GGA-PBE) results for a relaxed structure of Nd6Ge2Se3Br.

Lattice parameters (Å, degrees): 9.548 9.548 8.626 102.11 102.11 25.77
Fractional positions:
Nd 0.007 0.007 0.275
Nd 0.325 0.325 0.898
Nd 0.331 0.331 0.421
Nd 0.669 0.669 0.579
Nd 0.675 0.675 0.102
Nd 0.993 0.993 0.725
Ge 0.166 0.166 0.333
Ge 0.834 0.834 0.667
Se 0.161 0.161 0.837
Se 0.500 0.500 0.500
Se 0.839 0.839 0.163
Br 0.500 0.500 0.000

Results
Total DFT energy (no corrections) (eV/atom): -5.639
Symmetry: C2/m

---

(22)
DFT (GGA-PBE) results for a relaxed structure of CsSnSe2.

Lattice parameters (Å, degrees): 11.611 11.611 11.611 17.58 17.58 17.58
Fractional positions:
Cs 0.000 0.000 0.000
Sn 0.500 0.500 0.500
Se 0.416 0.416 0.416
Se 0.584 0.584 0.584

Results
Total DFT energy (no corrections) (eV/atom): -2.905
Symmetry: R-3m

---

(23)
DFT (GGA-PBE) results for a relaxed structure of Ac2SnSb.

Lattice parameters (Å, degrees): 13.327 13.327 4.668 90.00 90.00 158.72
Fractional positions:
Ac 0.064 0.936 0.750
Ac 0.315 0.685 0.750
Ac 0.685 0.315 0.250
Ac 0.936 0.064 0.250
Sn 0.459 0.541 0.750
Sn 0.541 0.459 0.250
Sb 0.188 0.812 0.750
Sb 0.812 0.188 0.250

Results
Total DFT energy (no corrections) (eV/atom): -5.036
Symmetry: Cmcm